Record 1
CoMoW2: relaxed, GGA-PBE.

For the energy of formation from the pure elements, the calculation gives 0.83 eV/atom. The value obtained for the volume is 15.76 A^3/atom. The uncorrected energy is -81.06 eV/cell. Its total magnetic moment is 0.00 μB per cell. Its excess energy over the best structure of this formula in the dataset is 752 meV per atom.

a = 6.971 Å, b = 6.971 Å, c = 5.570 Å
α = 51.27°, β = 51.27°, γ = 90.00°
Positions (direct):
Mo 0.000 0.000 0.000
Mo 0.750 0.250 0.500
Co 0.500 0.500 0.000
Co 0.250 0.750 0.500
W 0.598 0.125 0.250
W 0.152 0.625 0.250
W 0.375 0.402 0.750
W 0.875 0.848 0.750


Record 2
CoMoW2: relaxed, GGA-PBE.

For the energy of formation from the pure elements, the calculation gives 0.18 eV/atom. The value obtained for the volume is 14.97 A^3/atom. The uncorrected energy is -43.14 eV/cell. Its total magnetic moment is 1.50 μB per cell. Its excess energy over the best structure of this formula in the dataset is 100 meV per atom.

a = 4.383 Å, b = 2.687 Å, c = 5.145 Å
α = 81.13°, β = 90.00°, γ = 90.00°
Last column: magnetic moment on the atom in μB.
Positions (direct):
Co 0.500 0.250 0.250  1.30
Mo 0.500 0.750 0.750  0.09
W 0.000 0.996 0.004  0.06
W 0.000 0.504 0.496  0.06